Entry from the Alexandria database: a relaxed structure of Pm6PrS8 (PBE-GGA).

The calculation puts the volume at 1482.09 Å³ per cell. For the energy relative to the elements, uncorrected, the calculation gives -2.044 eV per atom. The value obtained for the mass density is 5.68 Mg/m³.

It has space group Fm-3m (No. 225), with a = 11.401 Å, b = 11.401 Å, c = 11.401 Å, α = 90.00°, β = 90.00° and γ = 90.00°. The asymmetric unit holds Pm at (0.000, 0.250, 0.250), Pr at (0.000, 0.000, 0.000), S at (0.000, 0.000, 0.253) and S at (0.250, 0.250, 0.250).



Entry from the Alexandria database: a relaxed structure of PmPr4S4 (PBE-GGA).

The calculation puts the volume at 477.61 Å³ per cell. For the energy relative to the elements, uncorrected, the calculation gives -1.774 eV per atom. The value obtained for the mass density is 5.82 Mg/m³.

It has space group I4/m (No. 87), with a = 9.081 Å, b = 9.081 Å, c = 5.792 Å, α = 90.00°, β = 90.00° and γ = 90.00°. The asymmetric unit holds Pm at (0.000, 0.000, 0.000), Pr at (0.103, 0.303, 0.500) and S at (0.099, 0.298, 0.000).